Compound: InCo2As
Source: Alexandria
Functional: GGA-PBE
Structure: relaxed

```
4
Lattice="-2.521 -0.823 1.275 1.441 -0.522 2.513 -1.059 6.164 1.887" Properties=species:S:1:pos:R:3 pbc="T T T"
In -0.805 0.868 2.366
As -1.335 3.950 3.309
Co -1.012 5.889 1.803
Co -0.577 3.357 1.027
```

## Properties
DOS(E_F)	2.80	states/eV/f.u.
formation energy	0.06	eV/atom
symmetry	P4/mmm
total DFT energy (no corrections)	-21.36	eV for the cell shown
magnetization	0.2321	μB/atom
energy relative to the lowest polymorph listed for this composition	33	meV/atom

***

Compound: AcCd2Pd5
Source: Alexandria
Functional: GGA-PBE
Structure: relaxed

```
8
Lattice="4.279 0.000 0.000 2.140 6.822 1.695 2.140 2.920 6.395" Properties=species:S:1:pos:R:3 pbc="T T T"
Cd 6.419 7.003 5.815
Cd 2.140 2.739 2.275
Pd 4.279 2.899 4.205
Pd 4.279 5.077 6.013
Pd 4.279 4.666 2.077
Pd 2.140 4.871 4.045
Pd 4.279 6.843 3.885
Ac 0.000 0.000 0.000
```

## Properties
DOS(E_F)	2.41	states/eV/f.u.
formation energy	-0.47	eV/atom
symmetry	Immm
total DFT energy (no corrections)	-35.67	eV for the cell shown
magnetization	0.0000	μB/atom

***

Compound: TbPrSm2
Source: Alexandria
Functional: GGA-PBE
Structure: relaxed

```
4
Lattice="-0.379 3.526 0.783 -2.456 1.062 2.456 7.189 0.497 9.662" Properties=species:S:1:pos:R:3 pbc="T T T"
Pr 0.000 0.000 0.000
Sm 1.125 1.267 3.264
Sm 3.229 3.819 9.637
Tb 2.177 2.543 6.450
```

## Properties
DOS(E_F)	5.37	states/eV/f.u.
formation energy	0.02	eV/atom
symmetry	R-3m
total DFT energy (no corrections)	-18.79	eV for the cell shown
magnetization	0.0000	μB/atom
energy relative to the lowest polymorph listed for this composition	0	meV/atom

***

Compound: ZnSi2Se
Source: Alexandria
Functional: GGA-PBE
Structure: relaxed

```
4
Lattice="4.708 -0.022 0.000 0.574 4.673 0.000 -2.641 -2.325 3.127" Properties=species:S:1:pos:R:3 pbc="T T T"
Si 0.000 0.000 0.000
Si 0.287 2.336 1.564
Zn 2.641 2.325 0.000
Se 2.354 -0.011 1.564
```

## Properties
DOS(E_F)	1.72	states/eV/f.u.
symmetry	I-4m2
total DFT energy (no corrections)	-13.64	eV for the cell shown
E_form (uncorrected)	0.4912	eV/atom
magnetization	0.0000	μB/atom
energy relative to the lowest polymorph listed for this composition	479	meV/atom

***

Compound: SrLa2CeAs4
Source: Alexandria
Functional: GGA-PBE
Structure: relaxed

```
8
Lattice="-2.840 -2.363 2.324 5.546 -4.656 2.043 3.124 2.523 6.383" Properties=species:S:1:pos:R:3 pbc="T T T"
As 3.523 -3.980 4.357
As -0.625 -2.857 4.528
As 2.307 -0.517 6.392
As 6.456 -1.640 6.221
La 0.142 0.080 4.353
La 3.124 2.523 6.383
Sr 1.353 -3.510 2.183
Ce 4.335 -1.067 4.213
```

## Properties
DOS(E_F)	2.79	states/eV/f.u.
formation energy	-1.40	eV/atom
symmetry	P2/m
total DFT energy (no corrections)	-47.27	eV for the cell shown
magnetization	0.0184	μB/atom

***

Compound: Y2PuCo3
Source: Alexandria
Functional: GGA-PBE
Structure: relaxed

```
12
Lattice="5.595 0.000 0.000 -2.797 4.845 0.000 0.000 0.000 7.925" Properties=species:S:1:pos:R:3 pbc="T T T"
Co 2.797 3.119 5.944
Co -1.303 3.982 1.981
Co 4.100 0.863 5.944
Co 1.303 3.982 1.981
Co 0.000 1.726 1.981
Co 1.495 0.863 5.944
Y 0.000 3.230 4.443
Y 0.000 3.230 7.445
Y 2.797 1.615 0.481
Y 2.797 1.615 3.482
Pu 0.000 0.000 3.963
Pu 0.000 0.000 0.000
```

## Properties
DOS(E_F)	11.31	states/eV/f.u.
formation energy	-0.08	eV/atom
symmetry	P6_3/mmc
total DFT energy (no corrections)	-98.15	eV for the cell shown
magnetization	0.5932	μB/atom

***

Compound: Sr2ZrV
Source: Alexandria
Functional: GGA-PBE
Structure: relaxed

```
4
Lattice="5.216 0.757 2.004 0.850 3.351 4.454 1.463 -2.231 4.967" Properties=species:S:1:pos:R:3 pbc="T T T"
V 0.000 0.000 0.000
Sr 5.647 1.408 8.569
Sr 1.882 0.469 2.856
Zr 3.765 0.939 5.713
```

## Properties
DOS(E_F)	7.95	states/eV/f.u.
formation energy	0.97	eV/atom
symmetry	Fm-3m
total DFT energy (no corrections)	-17.17	eV for the cell shown
magnetization	0.5822	μB/atom
energy relative to the lowest polymorph listed for this composition	0	meV/atom

***

Compound: PuSbAuS
Source: Alexandria
Functional: GGA-PBE
Structure: relaxed

```
8
Lattice="4.620 0.000 0.000 2.310 4.001 0.000 2.310 1.334 11.070" Properties=species:S:1:pos:R:3 pbc="T T T"
Pu 2.310 1.334 7.245
Pu 6.929 4.001 3.825
S 6.929 4.001 6.579
S 2.310 1.334 4.490
Sb 2.310 1.334 1.350
Sb 6.929 4.001 9.720
Au 4.620 2.667 9.390
Au 4.620 2.667 1.680
```

## Properties
DOS(E_F)	8.76	states/eV/f.u.
symmetry	R-3m
total DFT energy (no corrections)	-58.02	eV for the cell shown
E_form (uncorrected)	-0.7871	eV/atom
magnetization	1.2934	μB/atom